(1)
Here is Pm3Pr2Nd8 after structural relaxation from the Alexandria database. Energies are from PBE-GGA. Values from VASP.

Energy relative to the lowest polymorph listed for this composition: 0.056 eV per atom
Raw total energy: -59.27 eV for the cell shown
Formation energy from the elements: 206 meV/atom
SG: P-1, No. 2

```
&SYSTEM
  ibrav = 0, nat = 13, ntyp = 3
/
ATOMIC_SPECIES
Pm 145.00 Pm.upf
Pr 140.91 Pr.upf
Nd 144.24 Nd.upf
ATOMIC_POSITIONS crystal
Pm 0.000 0.000 0.000
Pm 0.500 0.287 0.000
Pm 0.500 0.713 0.000
Pr 0.001 0.758 0.517
Pr 0.999 0.242 0.483
Nd 0.000 0.187 0.790
Nd 0.000 0.397 0.209
Nd 0.000 0.603 0.791
Nd 0.000 0.813 0.210
Nd 0.499 0.330 0.660
Nd 0.500 0.132 0.265
Nd 0.500 0.868 0.735
Nd 0.501 0.670 0.340
CELL_PARAMETERS angstrom
5.810 0.000 0.000
0.000 7.761 0.000
-0.004 -3.874 10.470
```

---

(2)
Here is Zr2ScRh after structural relaxation from the Alexandria database. Energies are from PBE-GGA. Values from VASP.

Raw total energy: -31.99 eV for the cell shown
Formation energy from the elements: -304 meV/atom
SG: P2/m, No. 10

```
&SYSTEM
  ibrav = 0, nat = 4, ntyp = 3
/
ATOMIC_SPECIES
Zr 91.22 Zr.upf
Sc 44.96 Sc.upf
Rh 102.91 Rh.upf
ATOMIC_POSITIONS crystal
Zr 0.071 0.000 0.268
Zr 0.929 0.000 0.732
Sc 0.500 0.500 0.000
Rh 0.500 0.500 0.500
CELL_PARAMETERS angstrom
3.181 0.000 0.000
0.000 4.627 0.000
-1.538 0.000 5.495
```

---

(3)
Here is TlGa2As2 after structural relaxation from the Alexandria database. Energies are from PBE-GGA. Values from VASP.

Energy relative to the lowest polymorph listed for this composition: 0.067 eV per atom
Raw total energy: -17.81 eV for the cell shown
Formation energy from the elements: -18 meV/atom
SG: I4/mmm, No. 139

```
&SYSTEM
  ibrav = 0, nat = 5, ntyp = 3
/
ATOMIC_SPECIES
Tl 204.38 Tl.upf
Ga 69.72 Ga.upf
As 74.92 As.upf
ATOMIC_POSITIONS crystal
Tl 0.000 0.000 0.000
Ga 0.368 0.368 0.000
Ga 0.632 0.632 0.000
As 0.250 0.750 0.500
As 0.750 0.250 0.500
CELL_PARAMETERS angstrom
-2.420 2.420 4.839
2.420 -2.420 4.839
2.420 2.420 -4.839
```

---

(4)
Here is Li2Ge3Rh after structural relaxation from the Alexandria database. Energies are from PBE-GGA. Values from VASP.

Raw total energy: -53.31 eV for the cell shown
Formation energy from the elements: -271 meV/atom
SG: C2/c, No. 15

```
&SYSTEM
  ibrav = 0, nat = 12, ntyp = 3
/
ATOMIC_SPECIES
Li 6.94 Li.upf
Ge 72.64 Ge.upf
Rh 102.91 Rh.upf
ATOMIC_POSITIONS crystal
Li 0.045 0.955 0.750
Li 0.291 0.709 0.750
Li 0.709 0.291 0.250
Li 0.955 0.045 0.250
Ge 0.110 0.797 0.057
Ge 0.203 0.890 0.443
Ge 0.500 0.500 0.000
Ge 0.500 0.500 0.500
Ge 0.797 0.110 0.557
Ge 0.890 0.203 0.943
Rh 0.346 0.654 0.250
Rh 0.654 0.346 0.750
CELL_PARAMETERS angstrom
2.467 -5.919 0.000
2.467 5.919 0.000
-2.021 0.000 6.632
```

---

(5)
Here is BiPbO2 after structural relaxation from the Alexandria database. Energies are from PBE-GGA. Values from VASP.

Energy relative to the lowest polymorph listed for this composition: 0.000 eV per atom
Raw total energy: -21.14 eV for the cell shown
SG: R-3m, No. 166
E_form (uncorrected): -910 meV per atom

```
&SYSTEM
  ibrav = 0, nat = 4, ntyp = 3
/
ATOMIC_SPECIES
Bi 208.98 Bi.upf
Pb 207.20 Pb.upf
O 16.00 O.upf
ATOMIC_POSITIONS crystal
Bi 0.000 0.000 0.000
Pb 0.500 0.500 0.500
O 0.390 0.390 0.390
O 0.610 0.610 0.610
CELL_PARAMETERS angstrom
1.775 1.025 7.310
-1.775 1.025 7.310
0.000 -2.050 7.310
```

---

(6)
Here is YEr2Hg8 after structural relaxation from the Alexandria database. Energies are from PBE-GGA. Values from VASP.

Raw total energy: -21.21 eV for the cell shown
Formation energy from the elements: -292 meV/atom
SG: Immm, No. 71

```
&SYSTEM
  ibrav = 0, nat = 11, ntyp = 3
/
ATOMIC_SPECIES
Y 88.91 Y.upf
Er 167.26 Er.upf
Hg 200.59 Hg.upf
ATOMIC_POSITIONS crystal
Y 0.000 0.000 0.000
Er 0.304 0.304 0.000
Er 0.696 0.696 0.000
Hg 0.144 0.854 0.290
Hg 0.156 0.656 0.500
Hg 0.295 0.500 0.795
Hg 0.437 0.146 0.290
Hg 0.563 0.854 0.710
Hg 0.705 0.500 0.205
Hg 0.844 0.344 0.500
Hg 0.856 0.146 0.710
CELL_PARAMETERS angstrom
-2.522 3.754 7.166
2.522 -3.754 7.166
2.522 3.754 -7.166
```